No. 1
Computed, not measured: FeMo2Pt after structural relaxation at the PBE level of DFT.

Cell: 4.8112 4.8112 4.7906 Å, 98.88 98.88 32.76°
Closest atoms and distances in Å follow each position.
Sites, in units of the cell vectors:
Fe 0.0000 0.0000 0.0000  2 Fe 2.71, 6 Mo 2.75-2.78, 4 Pt 2.75
Mo 0.2491 0.2491 0.7538  6 Mo 2.71-2.79, 3 Fe 2.75-2.78, 3 Pt 2.78
Mo 0.7509 0.7509 0.2462  6 Mo 2.71-2.79, 3 Fe 2.75-2.78, 3 Pt 2.78
Pt 0.5000 0.5000 0.5000  2 Pt 2.71, 4 Fe 2.75, 6 Mo 2.78

Results
ΔH_f (0 K)	43	meV per atom
E	-0.331	hartree per atom

=====

No. 2
Computed, not measured: FeMoPt after structural relaxation at the PBE level of DFT.

Cell: 4.0935 4.0935 4.0935 Å, 60.00 60.00 60.00°
Closest atoms and distances in Å follow each position.
Sites, in units of the cell vectors:
Fe 0.0000 0.0000 0.0000  4 Pt 2.51, 4 Mo 2.51
Mo 0.2500 0.2500 0.2500  4 Fe 2.51
Pt 0.7500 0.7500 0.7500  4 Fe 2.51

Results
ΔH_f (0 K)	311	meV per atom
E	-0.299	hartree per atom

=====

No. 3
Computed, not measured: Fe3MoPt after structural relaxation at the PBE level of DFT.

Cell: 4.3706 4.3706 4.3706 Å, 90.00 90.00 90.00°
Closest atoms and distances in Å follow each position.
Sites, in units of the cell vectors:
Fe 0.0000 0.0000 0.5000  2 Mo 2.19
Fe 0.0000 0.5000 0.0000  2 Mo 2.19
Fe 0.5000 0.0000 0.0000  2 Mo 2.19
Mo 0.0000 0.0000 0.0000  6 Fe 2.19
Pt 0.5000 0.5000 0.5000  12 Fe 3.09

Results
ΔH_f (0 K)	1437	meV per atom
E	-0.258	hartree per atom

=====

No. 4
Computed, not measured: Fe2MoPt after structural relaxation at the PBE level of DFT.

Cell: 2.6424 4.3311 4.9501 Å, 90.00 95.85 90.00°
Closest atoms and distances in Å follow each position.
Sites, in units of the cell vectors:
Fe 0.2396 0.0000 0.2365  5 Fe 2.55-2.83, 2 Mo 2.59, 2 Pt 2.64
Fe 0.7604 0.0000 0.7635  5 Fe 2.55-2.83, 2 Mo 2.59, 2 Pt 2.64
Mo 0.5000 0.5000 0.0000  4 Fe 2.59, 2 Mo 2.64, 2 Pt 2.68
Pt 0.0000 0.5000 0.5000  4 Fe 2.64, 2 Pt 2.64, 4 Mo 2.68-2.92

Results
ΔH_f (0 K)	38	meV per atom
E	-0.309	hartree per atom

=====

No. 5
Computed, not measured: Fe2MoPt after structural relaxation at the PBE level of DFT.

Cell: 4.6728 4.6728 4.6728 Å, 132.72 132.72 69.09°
Closest atoms and distances in Å follow each position.
Sites, in units of the cell vectors:
Fe 0.0000 0.0000 0.0000  4 Mo 2.65, 4 Fe 2.69, 4 Pt 2.69
Fe 0.7500 0.2500 0.5000  4 Pt 2.65, 4 Mo 2.69, 4 Fe 2.69
Mo 0.5000 0.5000 0.0000  8 Fe 2.65-2.69, 4 Pt 2.69
Pt 0.2500 0.7500 0.5000  8 Fe 2.65-2.69, 4 Mo 2.69

Results
ΔH_f (0 K)	-97	meV per atom
E	-0.314	hartree per atom

=====

No. 6
Computed, not measured: FeMo2Pt after structural relaxation at the PBE level of DFT.

Cell: 2.7222 2.7222 7.7018 Å, 90.00 90.00 90.00°
Closest atoms and distances in Å follow each position.
Sites, in units of the cell vectors:
Fe 0.0000 0.0000 0.0000  8 Mo 2.60, 4 Fe 2.72
Mo 0.5000 0.5000 0.2264  4 Fe 2.60, 4 Mo 2.72, 4 Pt 2.85
Mo 0.5000 0.5000 0.7736  4 Fe 2.60, 4 Mo 2.72, 4 Pt 2.85
Pt 0.0000 0.0000 0.5000  4 Pt 2.72, 8 Mo 2.85

Results
ΔH_f (0 K)	-116	meV per atom
E	-0.337	hartree per atom

=====

No. 7
Computed, not measured: FeMo2Pt after structural relaxation at the PBE level of DFT.

Cell: 4.4020 4.4020 4.4020 Å, 60.00 60.00 60.00°
Closest atoms and distances in Å follow each position.
Sites, in units of the cell vectors:
Fe 0.0000 0.0000 0.0000  8 Mo 2.70
Mo 0.2500 0.2500 0.2500  4 Pt 2.70, 4 Fe 2.70
Mo 0.7500 0.7500 0.7500  4 Pt 2.70, 4 Fe 2.70
Pt 0.5000 0.5000 0.5000  8 Mo 2.70

Results
ΔH_f (0 K)	260	meV per atom
E	-0.323	hartree per atom

=====

No. 8
Computed, not measured: Fe2MoPt after structural relaxation at the PBE level of DFT.

Cell: 4.6752 4.6752 4.6229 Å, 99.20 99.20 33.48°
Closest atoms and distances in Å follow each position.
Sites, in units of the cell vectors:
Fe 0.0000 0.0000 0.0000  4 Mo 2.62-2.73, 5 Fe 2.66-2.69, 3 Pt 2.67-2.73
Fe 0.7462 0.7462 0.2354  3 Mo 2.63-2.75, 4 Pt 2.64-2.71, 5 Fe 2.66-2.69
Mo 0.5031 0.5031 0.4875  7 Fe 2.62-2.75, 2 Mo 2.69, 3 Pt 2.70-2.72
Pt 0.2546 0.2546 0.7469  7 Fe 2.64-2.73, 2 Pt 2.69, 3 Mo 2.70-2.72

Results
ΔH_f (0 K)	-12	meV per atom
E	-0.311	hartree per atom

=====

No. 9
Computed, not measured: Fe2MoPt after structural relaxation at the PBE level of DFT.

Cell: 8.7126 8.7126 8.7126 Å, 18.11 18.11 18.11°
Closest atoms and distances in Å follow each position.
Sites, in units of the cell vectors:
Fe 0.0000 0.0000 0.0000  3 Fe 2.45, 3 Mo 2.68
Fe 0.2608 0.2608 0.2608  3 Fe 2.45, 3 Pt 2.70
Mo 0.7506 0.7506 0.7506  3 Fe 2.68, 6 Mo 2.74, 3 Pt 2.84
Pt 0.5090 0.5090 0.5090  3 Fe 2.70, 6 Pt 2.74, 3 Mo 2.84

Results
ΔH_f (0 K)	58	meV per atom
E	-0.308	hartree per atom

=====

No. 10
Computed, not measured: FeMo2Pt after structural relaxation at the PBE level of DFT.

Cell: 2.6764 4.4255 4.9929 Å, 90.00 94.60 90.00°
Closest atoms and distances in Å follow each position.
Sites, in units of the cell vectors:
Fe 0.0000 0.0000 0.0000  7 Mo 2.64-2.88, 2 Pt 2.65, 2 Fe 2.68
Mo 0.4517 0.0000 0.4950  4 Fe 2.66-2.97, 4 Mo 2.68-2.74, 4 Pt 2.75-2.84
Mo 0.6190 0.5000 0.1896  4 Fe 2.64-2.88, 4 Mo 2.68-2.74, 3 Pt 2.71-2.78
Pt 0.0210 0.5000 0.7074  2 Fe 2.65, 2 Pt 2.68, 7 Mo 2.71-2.84

Results
ΔH_f (0 K)	-51	meV per atom
E	-0.334	hartree per atom

=====

No. 11
Computed, not measured: Fe2MoPt after structural relaxation at the PBE level of DFT.

Cell: 4.6030 4.6030 4.6030 Å, 131.09 131.09 71.68°
Closest atoms and distances in Å follow each position.
Sites, in units of the cell vectors:
Fe 0.2500 0.7500 0.5000  4 Mo 2.67, 4 Pt 2.67, 4 Fe 2.70
Fe 0.7500 0.2500 0.5000  4 Mo 2.67, 4 Pt 2.67, 4 Fe 2.70
Mo 0.0000 0.0000 0.0000  8 Fe 2.67, 4 Pt 2.70
Pt 0.5000 0.5000 0.0000  8 Fe 2.67, 4 Mo 2.70

Results
ΔH_f (0 K)	-64	meV per atom
E	-0.313	hartree per atom

=====

No. 12
Computed, not measured: Fe2MoPt5 after structural relaxation at the PBE level of DFT.

Cell: 5.5090 11.1342 3.8842 Å, 90.00 90.00 90.00°
Closest atoms and distances in Å follow each position.
Sites, in units of the cell vectors:
Fe 0.2482 0.1244 0.0000  10 Pt 2.71-2.85, 2 Mo 2.75
Fe 0.2518 0.6244 0.0000  10 Pt 2.71-2.85, 2 Mo 2.75
Fe 0.7482 0.3756 0.0000  10 Pt 2.71-2.85, 2 Mo 2.75
Fe 0.7518 0.8756 0.0000  10 Pt 2.71-2.85, 2 Mo 2.75
Mo 0.0000 0.0000 0.5000  8 Pt 2.72-2.75, 4 Fe 2.75
Mo 0.5000 0.5000 0.5000  8 Pt 2.72-2.75, 4 Fe 2.75
Pt 0.0000 0.5000 0.5000  6 Pt 2.74-2.85, 2 Mo 2.75, 4 Fe 2.76
Pt 0.0013 0.2444 0.5000  1 Mo 2.72, 4 Fe 2.72-2.80, 7 Pt 2.75-2.85
Pt 0.2462 0.8806 0.0000  4 Fe 2.71-2.85, 2 Mo 2.72, 6 Pt 2.74-2.83
Pt 0.2538 0.3806 0.0000  4 Fe 2.71-2.85, 2 Mo 2.72, 6 Pt 2.74-2.83
Pt 0.4987 0.7444 0.5000  1 Mo 2.72, 4 Fe 2.72-2.80, 7 Pt 2.75-2.85
Pt 0.5000 0.0000 0.5000  6 Pt 2.74-2.85, 2 Mo 2.75, 4 Fe 2.76
Pt 0.5013 0.2556 0.5000  1 Mo 2.72, 4 Fe 2.72-2.80, 7 Pt 2.75-2.85
Pt 0.7462 0.6194 0.0000  4 Fe 2.71-2.85, 2 Mo 2.72, 6 Pt 2.74-2.83
Pt 0.7538 0.1194 0.0000  4 Fe 2.71-2.85, 2 Mo 2.72, 6 Pt 2.74-2.83
Pt 0.9987 0.7556 0.5000  1 Mo 2.72, 4 Fe 2.72-2.80, 7 Pt 2.75-2.85

Results
ΔH_f (0 K)	-220	meV per atom
E	-0.274	hartree per atom

=====

No. 13
Computed, not measured: FeMo2Pt after structural relaxation at the PBE level of DFT.

Cell: 2.6875 2.6875 8.4029 Å, 90.00 90.00 101.22°
Closest atoms and distances in Å follow each position.
Sites, in units of the cell vectors:
Fe 0.0000 0.0000 0.0000  4 Pt 2.62-2.88, 4 Mo 2.64-2.89, 4 Fe 2.69
Mo 0.0000 0.0000 0.5078  6 Mo 2.69-2.82, 4 Pt 2.74-2.99
Mo 0.5000 0.5000 0.2398  4 Fe 2.64-2.89, 6 Mo 2.69-2.82
Pt 0.5000 0.5000 0.7632  4 Fe 2.62-2.88, 4 Pt 2.69, 2 Mo 2.74

Results
ΔH_f (0 K)	-24	meV per atom
E	-0.333	hartree per atom

=====

No. 14
Computed, not measured: FeMo2Pt after structural relaxation at the PBE level of DFT.

Cell: 4.7308 4.7308 4.8977 Å, 97.89 97.89 33.06°
Closest atoms and distances in Å follow each position.
Sites, in units of the cell vectors:
Fe 0.0000 0.0000 0.0000  2 Fe 2.69, 7 Mo 2.70-2.81, 3 Pt 2.73-2.76
Mo 0.2518 0.2518 0.7669  5 Mo 2.69-2.87, 3 Fe 2.70-2.73, 4 Pt 2.73-2.86
Mo 0.4930 0.4930 0.4941  5 Mo 2.69-2.87, 3 Pt 2.73-2.74, 4 Fe 2.78-2.81
Pt 0.7454 0.7454 0.2491  2 Pt 2.69, 7 Mo 2.73-2.86, 3 Fe 2.73-2.76

Results
ΔH_f (0 K)	-14	meV per atom
E	-0.333	hartree per atom

=====

No. 15
Computed, not measured: Fe2MoPt after structural relaxation at the PBE level of DFT.

Cell: 3.8073 3.8073 3.5697 Å, 90.00 90.00 90.00°
Closest atoms and distances in Å follow each position.
Sites, in units of the cell vectors:
Fe 0.0000 0.5000 0.0000  4 Mo 2.61, 4 Pt 2.61, 4 Fe 2.69
Fe 0.5000 0.0000 0.0000  4 Mo 2.61, 4 Pt 2.61, 4 Fe 2.69
Mo 0.0000 0.0000 0.5000  8 Fe 2.61, 4 Pt 2.69
Pt 0.5000 0.5000 0.5000  8 Fe 2.61, 4 Mo 2.69

Results
ΔH_f (0 K)	-51	meV per atom
E	-0.312	hartree per atom

=====

No. 16
Computed, not measured: Fe2MoPt2 after structural relaxation at the PBE level of DFT.

Cell: 6.2919 6.2919 3.5159 Å, 90.00 90.00 90.00°
Closest atoms and distances in Å follow each position.
Sites, in units of the cell vectors:
Fe 0.1277 0.3723 0.0000  1 Fe 2.27, 2 Mo 2.48, 2 Pt 2.53
Fe 0.3723 0.8723 0.0000  1 Fe 2.27, 2 Mo 2.48, 2 Pt 2.53
Fe 0.6277 0.1277 0.0000  1 Fe 2.27, 2 Mo 2.48, 2 Pt 2.53
Fe 0.8723 0.6277 0.0000  1 Fe 2.27, 2 Mo 2.48, 2 Pt 2.53
Mo 0.0000 0.0000 0.0000  4 Fe 2.48
Mo 0.5000 0.5000 0.0000  4 Fe 2.48
Pt 0.1676 0.6676 0.5000  6 Fe 2.53-2.57
Pt 0.3324 0.1676 0.5000  6 Fe 2.53-2.57
Pt 0.6676 0.8324 0.5000  6 Fe 2.53-2.57
Pt 0.8324 0.3324 0.5000  6 Fe 2.53-2.57

Results
ΔH_f (0 K)	140	meV per atom
E	-0.288	hartree per atom

=====

No. 17
Computed, not measured: FeMo2Pt after structural relaxation at the PBE level of DFT.

Cell: 2.7261 3.8358 5.4985 Å, 90.00 90.21 90.00°
Closest atoms and distances in Å follow each position.
Sites, in units of the cell vectors:
Fe 0.0000 0.0000 0.0000  8 Mo 2.66-2.67, 2 Fe 2.73, 2 Pt 2.75
Mo 0.4969 0.5000 0.2271  3 Mo 2.50-2.73, 4 Fe 2.66-2.67, 4 Pt 2.79
Mo 0.5031 0.5000 0.7729  3 Mo 2.50-2.73, 4 Fe 2.66-2.67, 4 Pt 2.79
Pt 0.0000 0.0000 0.5000  2 Pt 2.73, 2 Fe 2.75, 8 Mo 2.79

Results
ΔH_f (0 K)	-98	meV per atom
E	-0.336	hartree per atom

=====

No. 18
Computed, not measured: Fe2MoPt after structural relaxation at the PBE level of DFT.

Cell: 3.0642 3.0642 5.9361 Å, 90.00 90.00 90.00°
Closest atoms and distances in Å follow each position.
Sites, in units of the cell vectors:
Fe 0.0000 0.0000 0.2470  4 Mo 2.62, 4 Pt 2.64
Fe 0.0000 0.0000 0.7530  4 Mo 2.62, 4 Pt 2.64
Mo 0.5000 0.5000 0.0000  8 Fe 2.62
Pt 0.5000 0.5000 0.5000  8 Fe 2.64

Results
ΔH_f (0 K)	37	meV per atom
E	-0.309	hartree per atom

=====

No. 19
Computed, not measured: Fe2MoPt after structural relaxation at the PBE level of DFT.

Cell: 4.5989 4.5989 4.7813 Å, 98.51 98.51 33.79°
Closest atoms and distances in Å follow each position.
Sites, in units of the cell vectors:
Fe 0.2461 0.2461 0.2552  3 Mo 2.62-2.71, 6 Fe 2.67-2.79, 3 Pt 2.67-2.71
Fe 0.7539 0.7539 0.7448  3 Mo 2.62-2.71, 6 Fe 2.67-2.79, 3 Pt 2.67-2.71
Mo 0.0000 0.0000 0.5000  6 Fe 2.62-2.71, 2 Mo 2.67, 4 Pt 2.74
Pt 0.5000 0.5000 0.0000  2 Pt 2.67, 6 Fe 2.67-2.71, 4 Mo 2.74

Results
ΔH_f (0 K)	-12	meV per atom
E	-0.311	hartree per atom

=====

No. 20
Computed, not measured: Fe3Mo2Pt4 after structural relaxation at the PBE level of DFT.

Cell: 4.7855 4.7855 8.1243 Å, 108.05 108.05 47.67°
Closest atoms and distances in Å follow each position.
Sites, in units of the cell vectors:
Fe 0.0000 0.0000 0.0000  8 Pt 2.69-2.76, 4 Mo 2.79
Fe 0.3331 0.3331 0.4460  3 Mo 2.61-2.63, 6 Pt 2.68-2.80, 3 Fe 2.74-2.75
Fe 0.6669 0.6669 0.5540  3 Mo 2.61-2.63, 6 Pt 2.68-2.80, 3 Fe 2.74-2.75
Mo 0.3240 0.3240 0.7635  5 Fe 2.61-2.79, 7 Pt 2.71-2.81
Mo 0.6760 0.6760 0.2365  5 Fe 2.61-2.79, 7 Pt 2.71-2.81
Pt 0.0078 0.0078 0.3341  6 Fe 2.68-2.80, 3 Mo 2.71-2.74, 3 Pt 2.73-2.74
Pt 0.3350 0.3350 0.1103  4 Pt 2.71-2.73, 4 Fe 2.73-2.76, 4 Mo 2.77-2.81
Pt 0.6650 0.6650 0.8897  4 Pt 2.71-2.73, 4 Fe 2.73-2.76, 4 Mo 2.77-2.81
Pt 0.9922 0.9922 0.6659  6 Fe 2.68-2.80, 3 Mo 2.71-2.74, 3 Pt 2.73-2.74

Results
ΔH_f (0 K)	-213	meV per atom
E	-0.299	hartree per atom